(1)
Computed, not measured: a relaxed CdIr2Br crystal at the PBE-GGA level of DFT.

Values from the calculation:
calculated density	13.9	Mg/m³
energy	-16.7	eV per cell
DOS(E_F)	2.73	states/eV/f.u.
crystal system	orthorhombic
E_form (uncorrected)	0.89	eV/atom

abc: 4.8898 4.8898 2.9873
angles: 90.00 90.00 104.61
Positions (direct):
1 Cd 0.0000 0.5000 0.5000
2 Ir 0.0000 0.0000 0.0000
3 Br 0.5000 0.0000 0.5000
4 Ir 0.5000 0.5000 0.0000

(2)
Computed, not measured: a relaxed CdIr2Br crystal at the PBE-GGA level of DFT.

Values from the calculation:
calculated density	10.1	Mg/m³
energy	-18.7	eV per cell
DOS(E_F)	2.15	states/eV/f.u.
crystal system	orthorhombic
E_form (uncorrected)	0.40	eV/atom

abc: 2.7455 3.8123 9.0296
angles: 90.00 90.00 90.00
Positions (direct):
1 Br 0.0000 0.0000 0.5339
2 Ir 0.0000 0.0000 0.0234
3 Ir 0.5000 0.5000 0.1331
4 Cd 0.5000 0.5000 0.8095

(3)
Computed, not measured: a relaxed CdIr2Br crystal at the PBE-GGA level of DFT.

Values from the calculation:
calculated density	12.2	Mg/m³
energy	-33.7	eV per cell
DOS(E_F)	3.62	states/eV/f.u.
crystal system	tetragonal
E_form (uncorrected)	0.87	eV/atom

abc: 4.1720 4.1720 9.5071
angles: 77.33 77.33 90.00
Positions (direct):
1 Br 0.2500 0.7500 0.5000
2 Br 0.5000 0.5000 0.0000
3 Cd 0.0000 0.0000 0.0000
4 Ir 0.1848 0.6250 0.2500
5 Ir 0.8750 0.8152 0.7500
6 Ir 0.3750 0.4348 0.7500
7 Ir 0.5652 0.1250 0.2500
8 Cd 0.7500 0.2500 0.5000

(4)
Computed, not measured: a relaxed CdIr2Br crystal at the PBE-GGA level of DFT.

Values from the calculation:
calculated density	13.9	Mg/m³
energy	-16.8	eV per cell
DOS(E_F)	3.72	states/eV/f.u.
crystal system	orthorhombic
E_form (uncorrected)	0.89	eV/atom

abc: 3.0083 3.8136 6.0128
angles: 90.00 90.00 90.00
Positions (direct):
1 Ir 0.0000 0.0000 0.5011
2 Br 0.5000 0.5000 0.2500
3 Ir 0.0000 0.0000 0.9989
4 Cd 0.5000 0.5000 0.7500

(5)
Computed, not measured: a relaxed CdIr2Br crystal at the PBE-GGA level of DFT.

Values from the calculation:
calculated density	13.5	Mg/m³
energy	-17.3	eV per cell
DOS(E_F)	3.16	states/eV/f.u.
crystal system	monoclinic
E_form (uncorrected)	0.75	eV/atom

abc: 5.5920 5.5920 3.0250
angles: 74.47 74.47 118.53
Positions (direct):
1 Ir 0.5000 0.5000 0.0000
2 Cd 0.0000 0.5000 0.5000
3 Ir 0.0000 0.0000 0.0000
4 Br 0.5000 0.0000 0.5000

(6)
Computed, not measured: a relaxed CdIr2Br crystal at the PBE-GGA level of DFT.

Values from the calculation:
calculated density	13.7	Mg/m³
energy	-17.4	eV per cell
DOS(E_F)	4.45	states/eV/f.u.
crystal system	orthorhombic
E_form (uncorrected)	0.72	eV/atom

abc: 2.9256 5.0694 4.7269
angles: 90.00 90.00 90.00
Positions (direct):
1 Br 0.5000 0.0000 0.5000
2 Ir 0.5000 0.5000 0.0000
3 Ir 0.0000 0.0000 0.0000
4 Cd 0.0000 0.5000 0.5000